A:
PBE LiPmRu, optimized geometry; space group = I4mm, No. 107
1.0
3.524 0.000 0.000
0.000 3.524 0.000
-1.762 -1.762 4.596
Ru Pm Li
1 1 1
Direct
0.268 0.268 0.537
0.940 0.940 0.881
0.641 0.641 0.283

---

B:
PBE LiPmRu, optimized geometry; space group = I4/mmm, No. 139
1.0
3.780 0.000 0.000
0.000 3.780 0.000
-1.890 -1.890 10.481
Ru Li Pm
2 2 2
Direct
0.286 0.286 0.572
0.714 0.714 0.428
0.566 0.566 0.132
0.434 0.434 0.868
0.839 0.839 0.678
0.161 0.161 0.322

---

Which is most stable, and by how much? A, by 20.3 kJ/mol of atoms.

---

A:
PBE LiPm4Ru2, optimized geometry; space group = P1, No. 1
1.0
-7.370 -4.911 -4.828
6.382 0.897 -5.084
0.336 -2.659 6.997
Pm Ru Li
8 4 2
Direct
0.744 0.673 0.327
0.432 0.131 0.225
0.883 0.982 0.146
0.262 0.099 0.651
0.429 0.604 0.767
0.869 0.317 0.949
0.403 0.758 0.346
0.914 0.521 0.664
0.100 0.326 0.725
0.679 0.012 0.366
0.614 0.134 0.014
0.623 0.384 0.772
0.166 0.635 0.551
0.130 0.173 0.997

---

B:
PBE LiPm4Ru2, optimized geometry; space group = R-3m, No. 166
1.0
-1.282 2.438 4.174
-4.247 2.638 0.152
-5.765 -4.771 4.012
Ru Pm Li
2 4 1
Direct
0.253 0.253 0.242
0.747 0.747 0.758
0.379 0.379 0.862
0.129 0.129 0.614
0.621 0.621 0.138
0.871 0.871 0.386
0.000 0.000 0.000

---

Which is most stable, and by how much? B, by 10.6 kJ/mol of atoms.

---

A:
PBE Li2PmSb, optimized geometry; space group = P4/mmm, No. 123
1.0
4.902 0.000 0.000
0.000 4.460 0.000
0.000 0.000 4.460
Sb Li Pm
1 2 1
Direct
0.500 0.000 0.000
0.000 0.000 0.500
0.000 0.500 0.000
0.500 0.500 0.500

---

B:
PBE Li2PmSb, optimized geometry; space group = Fm-3m, No. 225
1.0
4.854 0.000 0.000
2.427 4.204 0.000
2.427 1.401 3.963
Sb Pm Li
1 1 2
Direct
0.500 0.500 0.500
0.000 0.000 0.000
0.750 0.750 0.750
0.250 0.250 0.250

---

Which is most stable, and by how much? A, by 11.2 kJ/mol of atoms.

---

A:
PBE LiPm2Se3, optimized geometry; space group = Immm, No. 71
1.0
3.952 0.000 -1.196
-0.729 5.323 -2.410
0.011 -0.013 7.162
Se Pm Li
3 2 1
Direct
0.159 0.659 0.817
0.841 0.341 0.183
0.500 0.000 0.500
0.833 0.833 0.167
0.167 0.167 0.833
0.500 0.500 0.500

---

B:
PBE LiPm2Se3, optimized geometry; space group = C2/c, No. 15
1.0
7.266 0.874 0.622
1.689 7.369 0.959
1.689 3.314 6.652
Se Pm Li
6 4 2
Direct
0.040 0.155 0.199
0.750 0.553 0.447
0.460 0.801 0.845
0.250 0.447 0.553
0.960 0.845 0.801
0.540 0.199 0.155
0.664 0.172 0.504
0.836 0.496 0.828
0.336 0.828 0.496
0.164 0.504 0.172
0.250 0.093 0.907
0.750 0.907 0.093

---

Which is most stable, and by how much? A, by 15.1 kJ/mol of atoms.

---

A:
PBE LiPmSi2, optimized geometry; space group = P4/mmm, No. 123
1.0
3.377 0.000 0.000
0.000 3.377 0.000
0.000 0.000 6.508
Li Si Pm
1 2 1
Direct
0.500 0.500 0.000
0.000 0.000 0.189
0.000 0.000 0.811
0.500 0.500 0.500

---

B:
PBE LiPmSi2, optimized geometry; space group = Amm2, No. 38
1.0
-2.593 1.932 -1.884
-0.257 -3.572 -3.308
-3.358 -1.304 3.285
Li Pm Si
1 1 2
Direct
0.500 0.600 0.400
0.000 0.006 0.994
0.500 0.491 0.882
0.500 0.118 0.509

---

Which is most stable, and by how much? A, by 1.5 kJ/mol of atoms.

---

A:
PBE LiPmSi2, optimized geometry; space group = Fm-3m, No. 225
1.0
4.844 0.000 0.000
2.422 4.195 0.000
2.422 1.398 3.955
Pm Si Li
1 2 1
Direct
0.000 0.000 0.000
0.750 0.750 0.750
0.250 0.250 0.250
0.500 0.500 0.500

---

B:
PBE LiPmSi2, optimized geometry; space group = P4/mmm, No. 123
1.0
4.267 0.000 0.000
0.000 4.220 0.000
0.000 0.000 4.220
Li Si Pm
1 2 1
Direct
0.500 0.000 0.000
0.000 0.000 0.500
0.000 0.500 0.000
0.500 0.500 0.500

---

Which is most stable, and by how much? B, by 18.5 kJ/mol of atoms.